CoHgAs2O6: relaxed, PBE+U.

Summary:
**Total energy**: -209.81 eV for the cell shown
**Magnetization**: 0.0 μB per cell

a b c (Å): 10.343 7.411 7.746
angles (deg): 90.00 115.57 90.00
Space group C2/c (No. 15)
One atom of each set of equivalent atoms:
Co 0.000 0.228 0.250 [4 per cell]
Hg 0.000 0.312 0.750 [4 per cell]
As 0.190 0.010 0.597 [8 per cell]
O 0.075 0.209 0.528 [8 per cell]
O 0.130 0.417 0.256 [8 per cell]
O 0.143 0.048 0.295 [8 per cell]